# 1
Compound: Ta2TlP
Source: Alexandria via LeMat-Bulk
Functional: PBE
Structure: optimized geometry

Calculated values
energy of formation: 0.0597 eV per atom
ΔE to the lowest computed polymorph: 124.6 meV per atom

The structure in CIF format:
```
data_Ta2TlP
_symmetry_space_group_name_H-M 'R -3 m'
_symmetry_Int_Tables_number 166
_symmetry_space_group_name_Hall '-R 3 2"'
_cell_length_a 3.2391
_cell_length_b 3.2391
_cell_length_c 24.5663
_cell_angle_alpha 90.00
_cell_angle_beta 90.00
_cell_angle_gamma 120.00
loop_
_atom_site_label
_atom_site_fract_x
_atom_site_fract_y
_atom_site_fract_z
Ta1 0.0000 0.0000 0.2343
Tl1 0.0000 0.0000 0.0000
P1 0.0000 0.0000 0.5000
```

=====

# 2
Compound: RbPbC3
Source: Alexandria via LeMat-Bulk
Functional: PBE
Structure: optimized geometry

Calculated values
energy of formation: 3.9345 eV per atom
ΔE to the lowest computed polymorph: 977.9 meV per atom

The structure in CIF format:
```
data_RbPbC3
_symmetry_space_group_name_H-M 'P m -3 m'
_symmetry_Int_Tables_number 221
_symmetry_space_group_name_Hall '-P 4 2 3'
_cell_length_a 4.714
_cell_length_b 4.714
_cell_length_c 4.714
_cell_angle_alpha 90.00
_cell_angle_beta 90.00
_cell_angle_gamma 90.00
loop_
_atom_site_label
_atom_site_fract_x
_atom_site_fract_y
_atom_site_fract_z
Rb1 0.000 0.000 0.000
Pb1 0.500 0.500 0.500
C1 0.000 0.000 0.500
```

=====

# 3
Compound: LiPAu
Source: Alexandria via LeMat-Bulk
Functional: PBE
Structure: optimized geometry

Calculated values
energy of formation: -0.3564 eV per atom

The structure in CIF format:
```
data_LiPAu
_symmetry_space_group_name_H-M 'P 63/m m c'
_symmetry_Int_Tables_number 194
_symmetry_space_group_name_Hall '-P 6c 2c'
_cell_length_a 4.2897
_cell_length_b 4.2897
_cell_length_c 12.2219
_cell_angle_alpha 90.00
_cell_angle_beta 90.00
_cell_angle_gamma 120.00
loop_
_atom_site_label
_atom_site_fract_x
_atom_site_fract_y
_atom_site_fract_z
Li1 0.0000 0.0000 0.0000
Li2 0.0000 0.0000 0.2500
P1 0.3333 0.6667 0.1499
Au1 0.3333 0.6667 0.6231
```

=====

# 4
Compound: TaTi3C
Source: Alexandria via LeMat-Bulk
Functional: PBE
Structure: optimized geometry

Calculated values
energy of formation: -0.2948 eV per atom
ΔE to the lowest computed polymorph: 0.0 meV per atom

The structure in CIF format:
```
data_TaTi3C
_symmetry_space_group_name_H-M 'C 1 2/m 1'
_symmetry_Int_Tables_number 12
_cell_length_a 9.717
_cell_length_b 4.256
_cell_length_c 8.177
_cell_angle_alpha 90.00
_cell_angle_beta 115.60
_cell_angle_gamma 90.00
loop_
_symmetry_equiv_pos_as_xyz
'x,y,z'
'-x,-y,-z'
'-x,y,-z'
'x,-y,z'
'x+1/2,y+1/2,z'
'-x+1/2,-y+1/2,-z'
'-x+1/2,y+1/2,-z'
'x+1/2,-y+1/2,z'
loop_
_atom_site_label
_atom_site_fract_x
_atom_site_fract_y
_atom_site_fract_z
Ta1 0.135 0.000 0.453
Ti1 0.113 0.500 0.188
Ti2 0.123 0.500 0.676
Ti3 0.135 0.000 0.936
C1 0.125 0.500 0.936
```

=====

# 5
Compound: YPu2ScTe4
Source: Alexandria via LeMat-Bulk
Functional: PBE
Structure: optimized geometry

The structure in CIF format:
```
data_YPu2ScTe4
_symmetry_space_group_name_H-M 'P 1 2/m 1'
_symmetry_Int_Tables_number 10
_cell_length_a 7.487
_cell_length_b 4.329
_cell_length_c 7.604
_cell_angle_alpha 90.00
_cell_angle_beta 109.24
_cell_angle_gamma 90.00
loop_
_symmetry_equiv_pos_as_xyz
'x,y,z'
'-x,-y,-z'
'-x,y,-z'
'x,-y,z'
loop_
_atom_site_label
_atom_site_fract_x
_atom_site_fract_y
_atom_site_fract_z
Y1 0.000 0.000 0.000
Pu1 0.000 0.500 0.500
Pu2 0.500 0.000 0.500
Sc1 0.500 0.500 0.000
Te1 0.254 0.500 0.241
Te2 0.262 0.000 0.764
```

=====

# 6
Compound: Sm3Y12Tl
Source: Alexandria via LeMat-Bulk
Functional: PBE
Structure: optimized geometry

Calculated values
energy of formation: -0.0238 eV per atom

The structure in CIF format:
```
data_Sm3Y12Tl
_symmetry_space_group_name_H-M 'P 4/m m m'
_symmetry_Int_Tables_number 123
_symmetry_space_group_name_Hall '-P 4 2'
_cell_length_a 4.999
_cell_length_b 4.999
_cell_length_c 20.365
_cell_angle_alpha 90.00
_cell_angle_beta 90.00
_cell_angle_gamma 90.00
loop_
_atom_site_label
_atom_site_fract_x
_atom_site_fract_y
_atom_site_fract_z
Sm1 0.000 0.000 0.000
Sm2 0.000 0.000 0.251
Y1 0.000 0.500 0.127
Y2 0.000 0.500 0.380
Y3 0.500 0.500 0.000
Y4 0.500 0.500 0.257
Y5 0.500 0.500 0.500
Tl1 0.000 0.000 0.500
```

=====

# 7
Compound: NbAg
Source: Alexandria via LeMat-Bulk
Functional: PBE
Structure: optimized geometry

Calculated values
energy of formation: 2.0786 eV per atom

The structure in CIF format:
```
data_NbAg
_symmetry_space_group_name_H-M 'P m -3 n'
_symmetry_Int_Tables_number 223
_symmetry_space_group_name_Hall '-P 4n 2 3'
_cell_length_a 7.346
_cell_length_b 7.346
_cell_length_c 7.346
_cell_angle_alpha 90.00
_cell_angle_beta 90.00
_cell_angle_gamma 90.00
loop_
_atom_site_label
_atom_site_fract_x
_atom_site_fract_y
_atom_site_fract_z
Nb1 0.000 0.250 0.500
Ag1 0.000 0.500 0.250
```

=====

# 8
Compound: TeMoPd2
Source: Alexandria via LeMat-Bulk
Functional: PBE
Structure: optimized geometry

The structure in CIF format:
```
data_TeMoPd2
_symmetry_space_group_name_H-M 'I -4 2 d'
_symmetry_Int_Tables_number 122
_symmetry_space_group_name_Hall 'I -4 2bw'
_cell_length_a 7.368
_cell_length_b 7.368
_cell_length_c 5.430
_cell_angle_alpha 90.00
_cell_angle_beta 90.00
_cell_angle_gamma 90.00
loop_
_atom_site_label
_atom_site_fract_x
_atom_site_fract_y
_atom_site_fract_z
Te1 0.000 0.000 0.000
Mo1 0.000 0.000 0.500
Pd1 0.250 0.250 0.125
```

=====

# 9
Compound: SmDyTe2
Source: Alexandria via LeMat-Bulk
Functional: PBE
Structure: optimized geometry

Calculated values
ΔE to the lowest computed polymorph: 142.9 meV per atom

The structure in CIF format:
```
data_SmDyTe2
_symmetry_space_group_name_H-M 'P 4/m m m'
_symmetry_Int_Tables_number 123
_symmetry_space_group_name_Hall '-P 4 2'
_cell_length_a 5.390
_cell_length_b 5.390
_cell_length_c 3.807
_cell_angle_alpha 90.00
_cell_angle_beta 90.00
_cell_angle_gamma 90.00
loop_
_atom_site_label
_atom_site_fract_x
_atom_site_fract_y
_atom_site_fract_z
Sm1 0.000 0.000 0.000
Dy1 0.500 0.500 0.000
Te1 0.000 0.500 0.500
```

=====

# 10
Compound: TlBS3
Source: Alexandria via LeMat-Bulk
Functional: PBE
Structure: optimized geometry

The structure in CIF format:
```
data_TlBS3
_symmetry_space_group_name_H-M 'C 2 2 21'
_symmetry_Int_Tables_number 20
_cell_length_a 7.145
_cell_length_b 11.314
_cell_length_c 5.186
_cell_angle_alpha 90.00
_cell_angle_beta 90.00
_cell_angle_gamma 90.00
loop_
_symmetry_equiv_pos_as_xyz
'x,y,z'
'-x,-y,z+1/2'
'x,-y,-z'
'-x,y,-z+1/2'
'x+1/2,y+1/2,z'
'-x+1/2,-y+1/2,z+1/2'
'x+1/2,-y+1/2,-z'
'-x+1/2,y+1/2,-z+1/2'
loop_
_atom_site_label
_atom_site_fract_x
_atom_site_fract_y
_atom_site_fract_z
Tl1 0.000 0.225 0.250
B1 0.141 0.500 0.000
S1 0.000 0.414 0.750
S2 0.208 0.123 0.642
```

=====

# 11
Compound: KInAgI5
Source: Alexandria via LeMat-Bulk
Functional: PBE
Structure: optimized geometry

The structure in CIF format:
```
data_KInAgI5
_symmetry_space_group_name_H-M 'C 1 2/c 1'
_symmetry_Int_Tables_number 15
_cell_length_a 10.906
_cell_length_b 13.980
_cell_length_c 10.146
_cell_angle_alpha 90.00
_cell_angle_beta 110.74
_cell_angle_gamma 90.00
loop_
_symmetry_equiv_pos_as_xyz
'x,y,z'
'-x,-y,-z'
'-x,y,-z+1/2'
'x,-y,z+1/2'
'x+1/2,y+1/2,z'
'-x+1/2,-y+1/2,-z'
'-x+1/2,y+1/2,-z+1/2'
'x+1/2,-y+1/2,z+1/2'
loop_
_atom_site_label
_atom_site_fract_x
_atom_site_fract_y
_atom_site_fract_z
K1 0.000 0.168 0.250
In1 0.000 0.158 0.750
Ag1 0.000 0.500 0.000
I1 0.000 0.423 0.250
I2 0.123 0.275 0.614
I3 0.178 0.045 0.952
```

=====

# 12
Compound: Ge2Bi3
Source: Alexandria via LeMat-Bulk
Functional: PBE
Structure: optimized geometry

Calculated values
energy of formation: 0.2570 eV per atom

The structure in CIF format:
```
data_Ge2Bi3
_symmetry_space_group_name_H-M 'R -3 c'
_symmetry_Int_Tables_number 167
_symmetry_space_group_name_Hall '-R 3 2"c'
_cell_length_a 8.1021
_cell_length_b 8.1021
_cell_length_c 15.1303
_cell_angle_alpha 90.00
_cell_angle_beta 90.00
_cell_angle_gamma 120.00
loop_
_atom_site_label
_atom_site_fract_x
_atom_site_fract_y
_atom_site_fract_z
Ge1 0.0000 0.0000 0.0934
Bi1 0.0000 0.2609 0.2500
```

=====

no.,uncorrected energy (eV/atom),total moment (μB/cell)
1,-7.81,0.00
2,-2.54,2.33
3,-3.89,0.00
4,-9.25,0.00
5,-7.92,12.07
6,-5.90,0.38
7,-4.38,0.00
8,-5.83,0.00
9,-5.12,0.79
10,-4.45,0.00
11,-2.48,0.00
12,-3.92,0.00